(1)
4
Lattice="3.556 0.000 0.000 0.000 3.556 0.000 0.000 0.000 6.103" Properties=species:S:1:pos:R:3 comment="TlAg2Pd | Alexandria | PBE | optimized geometry" magmom_total_mub_per_fu=0.00 relative_energy_mev_per_atom=76.8 pbc="T T T"
Tl 1.778 1.778 3.052
Pd 1.778 1.778 0.000
Ag 0.000 0.000 4.710
Ag 0.000 0.000 1.393

(2)
20
Lattice="3.709 0.000 0.000 0.000 9.721 0.000 0.000 0.000 9.721" Properties=species:S:1:pos:R:3 comment="Dy2Ga2CuPt5 | Alexandria | PBE | optimized geometry" magmom_total_mub_per_fu=0.00 dft_energy_ev_per_fu=-57.4 pbc="T T T"
Dy 0.000 6.563 1.703
Dy 0.000 3.158 8.018
Dy 0.000 1.703 3.158
Dy 0.000 8.018 6.563
Ga 0.000 1.217 6.077
Ga 0.000 8.504 3.643
Ga 0.000 6.077 8.504
Ga 0.000 3.643 1.217
Cu 0.000 0.000 0.000
Cu 0.000 4.860 4.860
Pt 1.854 1.947 0.579
Pt 1.854 7.774 9.141
Pt 1.854 0.579 7.774
Pt 1.854 6.807 4.281
Pt 1.854 9.141 1.947
Pt 1.854 2.914 5.440
Pt 1.854 5.440 6.807
Pt 1.854 4.281 2.914
Pt 1.854 4.860 0.000
Pt 1.854 0.000 4.860

(3)
10
Lattice="4.366 0.000 0.000 0.000 8.193 0.000 0.000 0.000 8.193" Properties=species:S:1:pos:R:3 comment="Y3Tl2 | Alexandria | PBE | optimized geometry" magmom_total_mub_per_fu=0.00 relative_energy_mev_per_atom=0.0 pbc="T T T"
Y 0.000 0.000 0.000
Y 0.000 4.096 4.096
Y 2.183 1.406 5.503
Y 2.183 2.690 1.406
Y 2.183 5.503 6.787
Y 2.183 6.787 2.690
Tl 0.000 3.026 7.122
Tl 0.000 1.071 3.026
Tl 0.000 7.122 5.167
Tl 0.000 5.167 1.071

(4)
40
Lattice="-3.367 -3.013 -4.823 4.294 -6.351 0.970 -5.845 -5.263 7.368" Properties=species:S:1:pos:R:3 comment="CaAg3P3O13 | Alexandria | PBE | optimized geometry" raw_formation_energy_kj_per_mol_atoms=-142.2 magmom_total_mub_per_fu=0.41 pbc="T T T"
Ca -2.348 -5.079 -1.979
Ca -2.570 -9.547 5.494
Ag 0.784 -6.691 1.369
Ag -5.702 -7.935 2.146
Ag -2.088 -4.562 2.044
Ag -1.683 -1.506 -2.411
Ag -2.830 -10.064 1.471
Ag 0.000 0.000 0.000
P -0.603 -8.267 3.322
P -4.315 -6.359 0.193
P -4.196 -5.842 4.315
P -0.722 -8.784 -0.800
P -4.946 -11.330 3.740
P 0.028 -3.296 -0.224
O -4.527 -10.194 2.737
O -3.074 -5.417 0.356
O -3.686 -4.777 3.294
O -3.736 -11.473 4.724
O -4.060 -7.752 0.885
O -7.341 -8.061 3.369
O -0.858 -6.874 2.630
O 0.112 -1.995 0.645
O 0.713 -8.743 2.700
O -5.631 -5.883 0.815
O -3.219 -6.171 5.480
O 2.423 -6.565 0.146
O -0.479 -7.363 -0.216
O -0.392 -5.701 -2.956
O -1.232 -9.849 0.221
O -1.182 -3.153 -1.209
O -4.277 -6.493 -1.367
O -1.845 -9.209 3.159
O -4.439 -7.263 3.731
O -0.391 -4.432 0.778
O 0.572 -9.457 -1.283
O -5.490 -5.169 4.798
O -1.699 -8.455 -1.964
O -5.030 -12.631 2.870
O -0.642 -8.133 4.883
O -4.526 -8.925 6.471

(5)
4
Lattice="7.892 -0.019 -0.040 -3.031 3.852 0.039 1.830 1.410 2.994" Properties=species:S:1:pos:R:3 comment="Y2ScOs | Alexandria | PBE | optimized geometry" magmom_total_mub_per_fu=0.00 relative_energy_mev_per_atom=329.0 pbc="T T T"
Os -0.600 2.631 1.517
Sc 2.431 1.916 0.000
Y 0.000 0.000 0.000
Y 4.861 0.696 1.477

(6)
7
Lattice="3.526 0.000 -0.425 0.000 3.557 0.000 0.457 0.000 18.612" Properties=species:S:1:pos:R:3 comment="Tb2Nd2Th3 | Alexandria | PBE | optimized geometry" magmom_total_mub_per_fu=0.00 dft_energy_ev_per_fu=-40.5 pbc="T T T"
Tb 0.606 0.000 5.022
Tb 3.377 0.000 13.165
Nd 1.297 1.779 10.751
Nd 2.686 1.779 7.436
Th 1.918 1.779 15.895
Th 2.065 1.779 2.292
Th 0.000 0.000 0.000

(7)
11
Lattice="6.628 -0.567 0.802 -0.187 6.421 1.039 0.392 -0.126 8.601" Properties=species:S:1:pos:R:3 comment="Pr3Ho7Tm | Alexandria | PBE | optimized geometry" magmom_total_mub_per_fu=0.00 relative_energy_mev_per_atom=0.0 pbc="T T T"
Pr 6.130 4.612 3.016
Pr 3.314 -0.284 0.401
Pr 0.703 1.116 7.427
Ho 5.161 1.345 2.749
Ho 4.887 5.856 6.591
Ho 1.905 2.624 1.945
Ho 4.928 3.104 8.497
Ho 0.102 3.148 4.820
Ho 1.946 -0.128 3.851
Ho 1.671 4.383 7.694
Tm 3.416 2.864 5.221

(8)
8
Lattice="-1.470 -3.655 -0.393 0.983 -0.799 3.751 -9.056 0.995 4.676" Properties=species:S:1:pos:R:3 comment="Ta2SiHg | Alexandria | PBE | optimized geometry" raw_formation_energy_kj_per_mol_atoms=57.3 magmom_total_mub_per_fu=0.00 pbc="T T T"
Si -0.243 -2.227 1.679
Si -4.158 -1.016 5.053
Hg 0.000 0.000 0.000
Hg -5.385 -2.444 2.981
Ta -3.044 -2.095 1.396
Ta -1.849 -0.748 3.460
Ta -6.964 -0.933 4.807
Ta -7.229 -3.143 6.403

(9)
5
Lattice="4.272 0.000 0.000 0.000 4.696 0.000 0.000 0.000 4.272" Properties=species:S:1:pos:R:3 comment="MgFe2NiW | Alexandria | PBE | optimized geometry" magmom_total_mub_per_fu=6.51 dft_energy_ev_per_fu=-26.6 pbc="T T T"
Ni 2.136 2.348 2.136
Mg 0.000 0.000 0.000
Fe 0.000 0.000 2.136
Fe 2.136 0.000 0.000
W 0.000 2.348 0.000

(10)
4
Lattice="4.776 0.000 0.000 0.000 3.052 0.017 0.000 1.451 5.849" Properties=species:S:1:pos:R:3 comment="ZrTl2Mo | Alexandria | PBE | optimized geometry" magmom_total_mub_per_fu=0.00 relative_energy_mev_per_atom=73.9 pbc="T T T"
Mo 2.388 3.377 4.399
Tl 0.000 4.285 5.819
Tl 0.000 2.469 2.980
Zr 2.388 1.126 1.466

(11)
6
Lattice="-0.151 -2.341 2.981 4.597 -3.278 -2.341 4.493 4.985 1.728" Properties=species:S:1:pos:R:3 comment="TlPdSe | Alexandria | PBE | optimized geometry" raw_formation_energy_kj_per_mol_atoms=-32.5 magmom_total_mub_per_fu=0.00 pbc="T T T"
Tl 6.067 0.487 0.690
Tl 2.873 -1.122 1.678
Pd 2.299 -1.639 -1.171
Pd -0.076 -1.171 1.491
Se 4.744 -1.985 -1.319
Se 4.196 1.350 3.687

(12)
10
Lattice="7.003 0.000 0.000 0.000 7.003 0.000 0.000 0.000 4.459" Properties=species:S:1:pos:R:3 comment="Sc2NiSb2 | Alexandria | PBE | optimized geometry" raw_formation_energy_kj_per_mol_atoms=-30.5 magmom_total_mub_per_fu=0.00 pbc="T T T"
Sc 2.324 5.825 0.000
Sc 5.825 4.679 0.000
Sc 4.679 1.178 0.000
Sc 1.178 2.324 0.000
Sb 1.048 4.549 2.230
Sb 4.549 5.955 2.230
Sb 5.955 2.454 2.230
Sb 2.454 1.048 2.230
Ni 0.000 0.000 0.000
Ni 3.501 3.501 0.000